1.
Computed, not measured: a geometry-optimized Ce2Cu2Ni5Ir structure at the PBE-GGA level of DFT.

extended XYZ file:
```
20
Lattice="3.816 0.000 0.000 0.000 8.789 0.000 0.000 0.000 8.789" Properties=species:S:1:pos:R:3 pbc="T T T"
Ce 0.000 2.740 7.135
Cu 0.000 0.967 5.361
Ni 1.908 0.506 6.977
Ni 1.908 6.207 3.888
Cu 0.000 5.361 7.823
Ni 1.908 8.283 1.812
Ce 0.000 7.135 6.049
Ni 1.908 4.901 6.207
Ni 1.908 0.000 4.395
Ni 1.908 4.395 0.000
Cu 0.000 3.428 0.967
Ni 1.908 3.888 2.583
Ni 1.908 2.583 4.901
Ce 0.000 1.655 2.740
Ce 0.000 6.049 1.655
Ni 1.908 6.977 8.283
Ni 1.908 1.812 0.506
Ir 0.000 4.395 4.395
Ir 0.000 0.000 0.000
Cu 0.000 7.823 3.428
```

As for the space group: P4/mbm (127). The value obtained for the calculated formation energy is -0.1927 eV/atom.

---

2.
Computed, not measured: a geometry-optimized CePaCuIr structure at the PBE-GGA level of DFT.

extended XYZ file:
```
4
Lattice="-0.090 -4.837 0.792 3.824 -2.771 -1.316 2.891 -1.976 3.431" Properties=species:S:1:pos:R:3 pbc="T T T"
Pa 0.000 0.000 0.000
Ir 4.969 -7.188 2.180
Ce 3.313 -4.792 1.453
Cu 1.656 -2.396 0.727
```

As for the space group: F-43m (216). The value obtained for the calculated formation energy is -0.3052 eV/atom.

---

3.
Computed, not measured: a geometry-optimized Ce2CuIr2Pt5 structure at the PBE-GGA level of DFT.

extended XYZ file:
```
20
Lattice="4.116 0.000 0.000 0.000 9.384 0.000 0.000 0.000 9.384" Properties=species:S:1:pos:R:3 pbc="T T T"
Pt 2.058 6.545 4.135
Pt 2.058 7.531 8.827
Ce 0.000 1.628 3.064
Pt 2.058 4.135 2.839
Ir 0.000 1.205 5.897
Ce 0.000 3.064 7.756
Pt 2.058 8.827 1.853
Ir 0.000 5.897 8.179
Pt 2.058 0.557 7.531
Ce 0.000 6.320 1.628
Cu 0.000 4.692 4.692
Cu 0.000 0.000 0.000
Pt 2.058 2.839 5.250
Ir 0.000 3.487 1.205
Ce 0.000 7.756 6.320
Pt 2.058 4.692 0.000
Pt 2.058 0.000 4.692
Pt 2.058 5.250 6.545
Ir 0.000 8.179 3.487
Pt 2.058 1.853 0.557
```

As for the space group: P4/mbm (127). The value obtained for the calculated formation energy is -0.6125 eV/atom.

---

4.
Computed, not measured: a geometry-optimized CePuCuIr structure at the PBE-GGA level of DFT.

extended XYZ file:
```
4
Lattice="-0.743 -0.894 4.556 1.612 -3.984 1.907 3.587 0.131 3.037" Properties=species:S:1:pos:R:3 pbc="T T T"
Pu 1.114 -1.187 2.375
Ir 0.000 0.000 0.000
Ce 2.228 -2.373 4.750
Cu 3.342 -3.560 7.125
```

As for the space group: F-43m (216). The value obtained for the calculated formation energy is -0.4138 eV/atom. Its distance to the lowest polymorph of the same formula is 0.00 kcal/mol of atoms.

---

5.
Computed, not measured: a geometry-optimized CePuCuIr structure at the PBE-GGA level of DFT.

extended XYZ file:
```
4
Lattice="4.692 0.000 0.000 2.346 4.063 0.000 2.346 1.354 3.831" Properties=species:S:1:pos:R:3 pbc="T T T"
Cu 0.000 0.000 0.000
Ir 2.346 1.354 0.958
Ce 4.692 2.709 1.916
Pu 7.038 4.063 2.873
```

As for the space group: F-43m (216). The value obtained for the calculated formation energy is -0.3721 eV/atom. Its distance to the lowest polymorph of the same formula is 0.96 kcal/mol of atoms.

---

6.
Computed, not measured: a geometry-optimized CeScCuIr structure at the PBE-GGA level of DFT.

extended XYZ file:
```
4
Lattice="-2.920 -3.485 1.525 -2.568 -2.530 -3.162 1.096 -4.590 -0.853" Properties=species:S:1:pos:R:3 pbc="T T T"
Ce -2.196 -5.303 -1.245
Sc 0.000 0.000 0.000
Ir -3.294 -7.954 -1.868
Cu -1.098 -2.651 -0.623
```

As for the space group: F-43m (216). The value obtained for the calculated formation energy is -0.4813 eV/atom.

---

7.
Computed, not measured: a geometry-optimized TbCeCuIr structure at the PBE-GGA level of DFT.

extended XYZ file:
```
4
Lattice="4.931 0.000 0.000 2.466 4.270 0.000 2.466 1.423 4.026" Properties=species:S:1:pos:R:3 pbc="T T T"
Ce 4.931 2.847 2.013
Cu 2.466 1.423 1.007
Ir 7.397 4.270 3.020
Tb 0.000 0.000 0.000
```

As for the space group: F-43m (216). The value obtained for the calculated formation energy is -0.4755 eV/atom.

---

8.
Computed, not measured: a geometry-optimized KCeCuO4 structure at the PBE-GGA level of DFT.

extended XYZ file:
```
14
Lattice="5.589 0.000 -0.065 0.000 5.088 0.000 -2.113 0.000 8.248" Properties=species:S:1:pos:R:3 pbc="T T T"
Cu 3.053 1.272 5.972
Ce 3.137 3.816 3.717
O 1.372 1.272 6.591
O 4.819 5.087 2.649
Cu 0.423 3.816 2.211
O 2.246 1.272 3.617
O 1.229 3.816 4.566
O 4.819 2.544 2.649
K 3.081 1.272 1.056
K 0.395 3.816 7.127
O -1.343 0.000 5.535
O 2.104 3.816 1.593
O -1.343 2.544 5.535
Ce 0.339 1.272 4.466
```

As for the space group: P2_1/m (11). The value obtained for the raw formation energy is -12.59 eV/f.u.